Zr2MnOsN: relaxed, GGA-PBEsol.

The calculation puts the electronic total energy at -10.511 eV/atom. The calculation puts the density of states at the Fermi level at 0.517 states/eV per atom. The formation energy (no corrections) is -74.7 kJ/mol of atoms.

The structure belongs to space group P4/mmm (No. 123); the cell edges are 4.508, 4.508 and 3.534 Å and the angles 90.00°, 90.00° and 90.00°. The asymmetric unit holds Zr at (0.000, 0.500, 0.000), Mn at (0.000, 0.000, 0.500), Os at (0.500, 0.500, 0.500) and N at (0.000, 0.000, 0.000).